Record 1
The following is a PBE calculation of a relaxed NdLu6 crystal, from the Alexandria database.

a b c (Å): 8.136 8.136 8.136
angles (deg): 90.00 90.00 90.00
Element x y z (fractional)
Nd (0.000, 0.000, 0.000)
Nd (0.500, 0.500, 0.500)
Lu (0.000, 0.250, 0.500)
Lu (0.000, 0.500, 0.250)
Lu (0.000, 0.500, 0.750)
Lu (0.000, 0.750, 0.500)
Lu (0.250, 0.000, 0.500)
Lu (0.250, 0.500, 0.000)
Lu (0.500, 0.000, 0.250)
Lu (0.500, 0.000, 0.750)
Lu (0.500, 0.250, 0.000)
Lu (0.500, 0.750, 0.000)
Lu (0.750, 0.000, 0.500)
Lu (0.750, 0.500, 0.000)

Summary:
The total energy is -3.026 eV per atom. As for the space-group type: Im-3m, No. 229. As for the formation energy: 1033.6 kJ/mol of formula units.



Record 2
The following is a PBE calculation of a relaxed Ca2Si2BOs2 crystal, from the Alexandria database.

a b c (Å): 10.909 4.204 7.206
angles (deg): 90.00 130.21 90.00
Element x y z (fractional)
Ca (0.074, 0.000, 0.341)
Ca (0.426, 0.500, 0.659)
Ca (0.574, 0.500, 0.341)
Ca (0.926, 0.000, 0.659)
Si (0.153, 0.500, 0.095)
Si (0.347, 0.000, 0.905)
Si (0.653, 0.000, 0.095)
Si (0.847, 0.500, 0.905)
B (0.000, 0.500, 0.500)
B (0.500, 0.000, 0.500)
Os (0.213, 0.500, 0.827)
Os (0.287, 0.000, 0.173)
Os (0.713, 0.000, 0.827)
Os (0.787, 0.500, 0.173)

Summary:
As for the uncorrected formation energy: -3.63 eV per formula unit. The total energy is -6.802 eV per atom. As for the space-group type: C2/m, No. 12.



Record 3
The following is a PBE calculation of a relaxed LaZrCuTc2 crystal, from the Alexandria database.

a b c (Å): 4.707 4.707 5.097
angles (deg): 90.00 90.00 90.00
Element x y z (fractional)
La (0.000, 0.000, 0.000)
Zr (0.000, 0.000, 0.500)
Cu (0.500, 0.500, 0.500)
Tc (0.000, 0.500, 0.000)
Tc (0.500, 0.000, 0.000)

Summary:
The total energy is -5.819 eV per atom. As for the space-group type: P4/mmm, No. 123. As for the formation energy: 888.5 kJ/mol of formula units.



Record 4
The following is a PBE calculation of a relaxed Hf2ReSn crystal, from the Alexandria database.

a b c (Å): 7.823 7.823 5.713
angles (deg): 90.00 90.00 90.00
Element x y z (fractional)
Hf (0.200, 0.250, 0.125)
Hf (0.250, 0.700, 0.375)
Hf (0.250, 0.800, 0.875)
Hf (0.300, 0.250, 0.625)
Hf (0.700, 0.750, 0.625)
Hf (0.750, 0.200, 0.875)
Hf (0.750, 0.300, 0.375)
Hf (0.800, 0.750, 0.125)
Re (0.000, 0.000, 0.000)
Re (0.000, 0.500, 0.250)
Re (0.500, 0.000, 0.750)
Re (0.500, 0.500, 0.500)
Sn (0.000, 0.000, 0.500)
Sn (0.000, 0.500, 0.750)
Sn (0.500, 0.000, 0.250)
Sn (0.500, 0.500, 0.000)

Summary:
The total energy is -8.727 eV per atom. As for the space-group type: I-42d, No. 122. As for the formation energy: 139.8 kJ/mol of formula units.